LaZnCl2 | Alexandria | PBE | relaxed; distance to the lowest polymorph of the same formula = 246 kJ/mol of formula units; formation energy without anion corrections = -0.6924 eV per atom
1.0
2.189 0.000 8.800
-1.094 1.895 8.800
-1.094 -1.895 8.800
Cl Zn La
2 1 1
direct
0.894 0.894 0.894
0.106 0.106 0.106
0.500 0.500 0.500
0.000 0.000 0.000